[1]
A relaxed ReHOs2W crystal, computed with GGA-PBE.

- Energy above the lowest structure with this stoichiometry: 0 meV/atom

```
data_ReHOs2W
_chemical_formula_sum 'Re1 H1 Os2 W1'
_space_group_name_H-M_alt 'P 4/m m m'
_space_group_IT_number 123
_space_group_name_Hall '-P 4 2'
_cell_length_a 3.947
_cell_length_b 3.947
_cell_length_c 3.961
_cell_angle_alpha 90.00
_cell_angle_beta 90.00
_cell_angle_gamma 90.00
loop_
_atom_site_label
_atom_site_type_symbol
_atom_site_fract_x
_atom_site_fract_y
_atom_site_fract_z
Re1 Re 0.000 0.000 0.000
H1 H 0.000 0.000 0.500
Os1 Os 0.000 0.500 0.500
W1 W 0.500 0.500 0.000
```


[2]
A relaxed ReHOs2W crystal, computed with GGA-PBE.

- Energy above the lowest structure with this stoichiometry: 15 meV/atom

```
data_ReHOs2W
_chemical_formula_sum 'Re1 H1 Os2 W1'
_space_group_name_H-M_alt 'P 4/m m m'
_space_group_IT_number 123
_space_group_name_Hall '-P 4 2'
_cell_length_a 3.934
_cell_length_b 3.934
_cell_length_c 3.988
_cell_angle_alpha 90.00
_cell_angle_beta 90.00
_cell_angle_gamma 90.00
loop_
_atom_site_label
_atom_site_type_symbol
_atom_site_fract_x
_atom_site_fract_y
_atom_site_fract_z
Re1 Re 0.000 0.000 0.000
H1 H 0.500 0.500 0.500
Os1 Os 0.000 0.500 0.500
W1 W 0.500 0.500 0.000
```


[3]
A relaxed ZnReHOs2 crystal, computed with GGA-PBE.

```
data_ZnReHOs2
_chemical_formula_sum 'Zn1 Re1 H1 Os2'
_space_group_name_H-M_alt 'P 4/m m m'
_space_group_IT_number 123
_space_group_name_Hall '-P 4 2'
_cell_length_a 4.834
_cell_length_b 4.834
_cell_length_c 3.173
_cell_angle_alpha 90.00
_cell_angle_beta 90.00
_cell_angle_gamma 90.00
loop_
_atom_site_label
_atom_site_type_symbol
_atom_site_fract_x
_atom_site_fract_y
_atom_site_fract_z
Zn1 Zn 0.000 0.000 0.000
Re1 Re 0.500 0.500 0.500
H1 H 0.500 0.500 0.000
Os1 Os 0.000 0.500 0.500
```


| no. | energy (eV/atom) | M_tot (μB per formula unit) |
| --- | --- | --- |
| 1 | -10.13 | 0.000 |
| 2 | -10.11 | 0.000 |
| 3 | -6.63 | 0.000 |